No. 1
ReNiW2 (PBE, relaxed); calculated total energy = -10.88 eV/atom; energy above the lowest structure with this stoichiometry = 0.095 eV/atom; DFT formation energy = 151 meV/atom; size of the total moment = 0.00 μB/f.u.
1.0
2.6935 -4.3267 0.0000
2.6935 4.3267 0.0000
-0.8004 0.0000 2.5407
Re Ni W
1 1 2
direct
0.0000 0.0000 0.0000
0.5000 0.5000 0.0000
0.0000 0.5000 0.5000
0.5000 0.0000 0.5000

No. 2
ErTa2Ga8 (PBE, relaxed); calculated total energy = -4.79 eV/atom; DFT formation energy = -17 meV/atom; size of the total moment = 0.00 μB/f.u.
1.0
3.5870 -5.9529 0.0000
3.5870 5.9529 0.0000
-1.5719 0.0000 5.0323
Er Ta Ga
1 2 8
direct
0.0000 0.0000 0.0000
0.2876 0.7124 0.5000
0.7124 0.2876 0.5000
0.1071 0.3165 0.6321
0.2630 0.7370 0.0000
0.3165 0.1071 0.6321
0.4200 0.4200 0.2396
0.5800 0.5800 0.7604
0.6835 0.8929 0.3679
0.7370 0.2630 0.0000
0.8929 0.6835 0.3679

No. 3
CaTb2Sm6 (PBE, relaxed); calculated total energy = -4.36 eV/atom; DFT formation energy = 39 meV/atom; size of the total moment = 0.00 μB/f.u.
1.0
7.2723 0.0000 0.0000
1.8353 9.4337 0.0000
1.8156 3.1545 8.9071
Ca Tb Sm
2 4 12
direct
0.1391 0.1133 0.3303
0.8609 0.8867 0.6697
0.3074 0.4486 0.3336
0.4218 0.3376 0.9930
0.5782 0.6624 0.0070
0.6926 0.5514 0.6664
0.0301 0.2292 0.6716
0.0876 0.6617 0.0051
0.2002 0.5520 0.6664
0.2504 0.9974 0.9941
0.3659 0.8844 0.6726
0.4767 0.7741 0.3356
0.5233 0.2259 0.6644
0.6341 0.1156 0.3274
0.7496 0.0026 0.0059
0.7998 0.4480 0.3336
0.9124 0.3383 0.9949
0.9699 0.7708 0.3284

No. 4
NaNd2Cu2S4 (PBE, relaxed); calculated total energy = -5.17 eV/atom; size of the total moment = 0.00 μB/f.u.; ΔE_f (raw) = -1216 meV per atom
1.0
7.2247 -1.8674 0.0000
7.2247 1.8674 0.0000
-2.6472 0.0000 6.5172
Na Nd Cu S
1 2 2 4
direct
0.0000 0.0000 0.0000
0.1274 0.1274 0.5575
0.8726 0.8726 0.4425
0.3160 0.3160 0.9960
0.6841 0.6841 0.0040
0.2122 0.2122 0.2282
0.4716 0.4716 0.2647
0.5284 0.5284 0.7353
0.7878 0.7878 0.7718

No. 5
CrNi2W (PBE, relaxed); calculated total energy = -8.28 eV/atom; energy above the lowest structure with this stoichiometry = 0.226 eV/atom; DFT formation energy = 255 meV/atom; size of the total moment = 0.00 μB/f.u.
1.0
1.3171 0.7604 8.4945
-1.3171 0.7604 8.4945
0.0000 -1.5208 8.4945
Cr Ni W
1 2 1
direct
0.0000 0.0000 0.0000
0.4894 0.4894 0.4894
0.7433 0.7433 0.7433
0.2413 0.2413 0.2413

No. 6
ZrTiN (PBE, relaxed); calculated total energy = -9.46 eV/atom; energy above the lowest structure with this stoichiometry = 0.000 eV/atom; size of the total moment = 0.00 μB/f.u.; ΔE_f (raw) = -1206 meV per atom
1.0
3.1872 0.0000 0.0000
0.0000 4.1416 0.0000
0.0000 0.0000 6.6260
Zr Ti N
2 2 2
direct
0.2500 0.2500 0.1402
0.7500 0.7500 0.8598
0.2500 0.2500 0.5948
0.7500 0.7500 0.4052
0.2500 0.7500 0.6160
0.7500 0.2500 0.3840

No. 7
Sr2CaPb2 (PBE, relaxed); calculated total energy = -2.79 eV/atom; energy above the lowest structure with this stoichiometry = 0.279 eV/atom; DFT formation energy = -233 meV/atom; size of the total moment = 0.00 μB/f.u.
1.0
-2.5914 2.5914 7.3331
2.5914 -2.5914 7.3331
2.5914 2.5914 -7.3331
Sr Ca Pb
2 1 2
direct
0.2500 0.7500 0.5000
0.7500 0.2500 0.5000
0.0000 0.0000 0.0000
0.3997 0.3997 0.0000
0.6003 0.6003 0.0000

No. 8
Si5Au3 (PBE, relaxed); calculated total energy = -4.22 eV/atom; energy above the lowest structure with this stoichiometry = 0.215 eV/atom; size of the total moment = 0.00 μB/f.u.; ΔE_f (raw) = 397 meV per atom
1.0
3.8055 -4.1317 0.0000
3.8055 4.1317 0.0000
0.0000 0.0000 4.2730
Si Au
5 3
direct
0.0000 0.0000 0.0000
0.0000 0.5000 0.0000
0.2697 0.2697 0.5000
0.5000 0.0000 0.0000
0.7303 0.7303 0.5000
0.2260 0.7740 0.5000
0.5000 0.5000 0.0000
0.7740 0.2260 0.5000

No. 9
Bi6RhAu2 (PBE, relaxed); calculated total energy = -4.17 eV/atom; DFT formation energy = -37 meV/atom; size of the total moment = 0.00 μB/f.u.
1.0
7.4637 0.0000 0.0000
0.0000 6.8036 0.0000
-7.4398 0.0000 9.6148
Bi Rh Au
12 2 4
direct
0.1010 0.1669 0.4181
0.1010 0.3331 0.9181
0.2782 0.6664 0.4459
0.2782 0.8336 0.9459
0.3943 0.5441 0.7677
0.3943 0.9559 0.2677
0.6057 0.0441 0.7323
0.6057 0.4559 0.2323
0.7218 0.1664 0.0541
0.7218 0.3336 0.5541
0.8990 0.6669 0.0819
0.8990 0.8331 0.5819
0.0000 0.0000 0.0000
0.0000 0.5000 0.5000
0.2346 0.1481 0.7484
0.2346 0.3519 0.2484
0.7654 0.6481 0.7516
0.7654 0.8519 0.2516

No. 10
BaCrTe2As (PBE, relaxed); calculated total energy = -3.31 eV/atom; size of the total moment = 7.00 μB/f.u.; ΔE_f (raw) = 1189 meV per atom
1.0
6.6014 0.0000 0.0000
0.0000 6.6014 0.0000
0.0000 0.0000 6.5006
Ba Cr Te As
1 1 2 1
direct
0.0000 0.0000 0.0000
0.0000 0.0000 0.5000
0.0000 0.5000 0.0000
0.5000 0.0000 0.0000
0.5000 0.5000 0.5000

No. 11
GdHo2Br (PBE, relaxed); calculated total energy = -6.73 eV/atom; size of the total moment = 7.25 μB/f.u.; ΔE_f (raw) = -507 meV per atom
1.0
1.8161 1.0485 10.1870
-1.8161 1.0485 10.1870
0.0000 -2.0971 10.1870
Gd Ho Br
1 2 1
direct
0.0000 0.0000 0.0000
0.2425 0.2425 0.2425
0.7575 0.7575 0.7575
0.5000 0.5000 0.5000

No. 12
AgHgH2 (PBE, relaxed); calculated total energy = -2.03 eV/atom; energy above the lowest structure with this stoichiometry = 0.104 eV/atom; size of the total moment = 0.00 μB/f.u.
1.0
-2.5197 2.5197 4.3840
2.5197 -2.5197 4.3840
2.5197 2.5197 -4.3840
Ag Hg H
2 2 4
direct
0.0000 0.0000 0.0000
0.7500 0.2500 0.5000
0.2500 0.7500 0.5000
0.5000 0.5000 0.0000
0.0376 0.6250 0.9126
0.3750 0.2876 0.4126
0.7124 0.1250 0.0874
0.8750 0.9624 0.5874

No. 13
CeBe2Pt2 (PBE, relaxed); calculated total energy = -5.92 eV/atom; energy above the lowest structure with this stoichiometry = 0.000 eV/atom; DFT formation energy = -827 meV/atom; size of the total moment = 0.79 μB/f.u.
1.0
4.0331 0.0000 0.0000
0.0000 4.0331 0.0000
0.0000 0.0000 9.7237
Ce Be Pt
2 4 4
direct
0.2500 0.2500 0.2463
0.7500 0.7500 0.7537
0.2500 0.2500 0.6231
0.2500 0.7500 0.0000
0.7500 0.2500 0.0000
0.7500 0.7500 0.3769
0.2500 0.2500 0.8732
0.2500 0.7500 0.5000
0.7500 0.2500 0.5000
0.7500 0.7500 0.1268

No. 14
Cr2TePt (PBE, relaxed); calculated total energy = -6.89 eV/atom; size of the total moment = 7.75 μB/f.u.; ΔE_f (raw) = 220 meV per atom
1.0
3.7166 0.0000 0.0000
0.0000 3.7166 0.0000
0.0000 0.0000 5.5365
Cr Te Pt
2 1 1
direct
0.0000 0.0000 0.0000
0.5000 0.5000 0.3469
0.5000 0.5000 0.8424
0.0000 0.0000 0.4630

No. 15
Cs2UCuS4 (PBE, relaxed); calculated total energy = -5.14 eV/atom; size of the total moment = 1.00 μB/f.u.; ΔE_f (raw) = -936 meV per atom
1.0
-3.7609 3.7609 4.7804
3.7609 -3.7609 4.7804
3.7609 3.7609 -4.7804
Cs U Cu S
2 1 1 4
direct
0.0000 0.0000 0.0000
0.7500 0.2500 0.5000
0.5000 0.5000 0.0000
0.2500 0.7500 0.5000
0.2455 0.6297 0.1363
0.3703 0.5066 0.6159
0.4934 0.1092 0.8637
0.8908 0.7545 0.3841

No. 16
LiNdBi2 (PBE, relaxed); calculated total energy = -4.12 eV/atom; energy above the lowest structure with this stoichiometry = 0.172 eV/atom; DFT formation energy = -511 meV/atom; size of the total moment = 0.20 μB/f.u.
1.0
3.5794 0.0000 0.0000
0.0000 3.5794 0.0000
0.0000 0.0000 8.7904
Li Nd Bi
1 1 2
direct
0.0000 0.0000 0.0000
0.0000 0.0000 0.5000
0.5000 0.5000 0.2291
0.5000 0.5000 0.7709

| no. | DOS(E_F) (states/eV/f.u.) |
| --- | --- |
| 1 | 3.96 |
| 2 | 4.96 |
| 3 | 12.36 |
| 4 | 2.42 |
| 5 | 4.96 |
| 6 | 2.48 |
| 7 | 4.87 |
| 8 | 3.02 |
| 9 | 4.89 |
| 10 | 9.34 |
| 11 | 4.30 |
| 12 | 1.51 |
| 13 | 6.00 |
| 14 | 2.60 |
| 15 | 6.09 |
| 16 | 2.21 |